No. 1
First-principles (PBE-GGA) data for Pu2Al5Au3 after structural relaxation, as listed in Alexandria via LeMat-Bulk.

Values from the calculation:
For the uncorrected energy, the calculation gives -6.177 eV per atom. The value obtained for the formation energy from the elements is -456 meV per atom.

a = 6.138 Å, b = 8.668 Å, c = 8.668 Å
α = 77.71°, β = 69.26°, γ = 69.26°
Positions (direct):
Al (0.611, 0.742, 0.037)
Al (0.487, 0.763, 0.763)
Al (0.513, 0.237, 0.237)
Al (0.250, 0.500, 0.500)
Al (0.750, 0.500, 0.500)
Al (0.013, 0.237, 0.237)
Al (0.889, 0.963, 0.258)
Al (0.111, 0.037, 0.742)
Al (0.987, 0.763, 0.763)
Al (0.389, 0.258, 0.963)
Au (0.130, 0.245, 0.494)
Au (0.630, 0.494, 0.245)
Au (0.750, 0.000, 0.000)
Au (0.370, 0.506, 0.755)
Au (0.250, 0.000, 0.000)
Au (0.870, 0.755, 0.506)
Pu (0.634, 0.130, 0.603)
Pu (0.366, 0.870, 0.397)
Pu (0.866, 0.397, 0.870)
Pu (0.134, 0.603, 0.130)

***

No. 2
First-principles (PBE-GGA) data for PuAl2Au6 after structural relaxation, as listed in Alexandria via LeMat-Bulk.

Values from the calculation:
For the uncorrected energy, the calculation gives -4.878 eV per atom. The value obtained for the formation energy from the elements is -269 meV per atom.

a = 4.518 Å, b = 7.016 Å, c = 7.016 Å
α = 61.80°, β = 78.50°, γ = 78.50°
Positions (direct):
Au (0.500, 0.294, 0.706)
Au (0.200, 0.120, 0.517)
Au (0.200, 0.517, 0.120)
Au (0.800, 0.880, 0.483)
Au (0.500, 0.706, 0.294)
Au (0.800, 0.483, 0.880)
Pu (0.000, 0.000, 0.000)
Al (0.291, 0.689, 0.689)
Al (0.709, 0.311, 0.311)

***

No. 3
First-principles (PBE-GGA) data for Pu3Al7Au4 after structural relaxation, as listed in Alexandria via LeMat-Bulk.

Values from the calculation:
For the uncorrected energy, the calculation gives -6.334 eV per atom. The value obtained for the formation energy from the elements is -455 meV per atom.

a = 4.388 Å, b = 8.305 Å, c = 8.444 Å
α = 70.84°, β = 74.94°, γ = 74.68°
Positions (direct):
Al (0.000, 0.000, 0.000)
Al (0.501, 0.798, 0.199)
Al (0.499, 0.202, 0.801)
Al (0.326, 0.816, 0.532)
Al (0.674, 0.184, 0.468)
Al (0.149, 0.628, 0.074)
Al (0.851, 0.372, 0.926)
Pu (0.000, 0.500, 0.500)
Pu (0.312, 0.190, 0.187)
Pu (0.688, 0.810, 0.813)
Au (0.128, 0.097, 0.647)
Au (0.344, 0.529, 0.783)
Au (0.656, 0.471, 0.217)
Au (0.872, 0.903, 0.353)

***

No. 4
First-principles (PBE-GGA) data for Pu2Al7Au12 after structural relaxation, as listed in Alexandria via LeMat-Bulk.

Values from the calculation:
For the uncorrected energy, the calculation gives -4.888 eV per atom. The value obtained for the formation energy from the elements is -403 meV per atom.

a = 4.217 Å, b = 10.471 Å, c = 10.471 Å
α = 120.00°, β = 90.00°, γ = 90.00°
Positions (direct):
Au (0.246, 0.923, 0.548)
Au (0.766, 0.872, 0.738)
Au (0.754, 0.548, 0.625)
Au (0.234, 0.128, 0.262)
Au (0.754, 0.077, 0.452)
Au (0.234, 0.134, 0.872)
Au (0.754, 0.375, 0.923)
Au (0.234, 0.738, 0.866)
Au (0.766, 0.262, 0.134)
Au (0.766, 0.866, 0.128)
Au (0.246, 0.625, 0.077)
Au (0.246, 0.452, 0.375)
Al (0.738, 0.294, 0.399)
Al (0.262, 0.895, 0.294)
Al (0.738, 0.105, 0.706)
Al (0.500, 0.000, 0.000)
Al (0.738, 0.601, 0.895)
Al (0.262, 0.706, 0.601)
Al (0.262, 0.399, 0.105)
Pu (0.757, 0.667, 0.333)
Pu (0.243, 0.333, 0.667)

***

No. 5
First-principles (PBE-GGA) data for PuAl2Au5 after structural relaxation, as listed in Alexandria via LeMat-Bulk.

Values from the calculation:
For the uncorrected energy, the calculation gives -5.141 eV per atom. The value obtained for the formation energy from the elements is -366 meV per atom.

a = 4.122 Å, b = 6.843 Å, c = 6.843 Å
α = 62.51°, β = 72.47°, γ = 72.47°
Positions (direct):
Al (0.238, 0.262, 0.262)
Al (0.762, 0.738, 0.738)
Au (0.364, 0.845, 0.427)
Au (0.636, 0.155, 0.573)
Au (0.364, 0.427, 0.845)
Au (0.000, 0.500, 0.500)
Au (0.636, 0.573, 0.155)
Pu (0.000, 0.000, 0.000)

***

No. 6
First-principles (PBE-GGA) data for Pu2AlAu7 after structural relaxation, as listed in Alexandria via LeMat-Bulk.

Values from the calculation:
For the uncorrected energy, the calculation gives -5.838 eV per atom. The value obtained for the formation energy from the elements is -303 meV per atom.

a = 4.007 Å, b = 4.007 Å, c = 13.376 Å
α = 90.00°, β = 90.00°, γ = 90.00°
Positions (direct):
Au (0.000, 0.000, 0.500)
Au (0.500, 0.500, 0.500)
Au (0.500, 0.000, 0.144)
Au (0.000, 0.500, 0.856)
Au (0.000, 0.000, 0.000)
Au (0.500, 0.000, 0.347)
Au (0.000, 0.500, 0.653)
Al (0.500, 0.500, 0.000)
Pu (0.000, 0.500, 0.250)
Pu (0.500, 0.000, 0.750)

***

No. 7
First-principles (PBE-GGA) data for PuAl3Au10 after structural relaxation, as listed in Alexandria via LeMat-Bulk.

Values from the calculation:
For the uncorrected energy, the calculation gives -4.198 eV per atom. The value obtained for the formation energy from the elements is -31 meV per atom.

a = 9.200 Å, b = 9.200 Å, c = 9.200 Å
α = 60.00°, β = 60.00°, γ = 60.00°
Positions (direct):
Au (0.344, 0.000, 0.000)
Au (0.656, 0.000, 0.000)
Au (0.849, 0.384, 0.384)
Au (0.344, 0.000, 0.656)
Au (0.151, 0.616, 0.616)
Au (0.000, 0.656, 0.344)
Au (0.000, 0.344, 0.000)
Au (0.616, 0.616, 0.616)
Au (0.000, 0.000, 0.344)
Au (0.000, 0.000, 0.656)
Au (0.656, 0.000, 0.344)
Au (0.656, 0.344, 0.000)
Au (0.616, 0.151, 0.616)
Au (0.000, 0.344, 0.656)
Au (0.000, 0.656, 0.000)
Au (0.616, 0.616, 0.151)
Au (0.384, 0.384, 0.849)
Au (0.384, 0.849, 0.384)
Au (0.344, 0.656, 0.000)
Au (0.384, 0.384, 0.384)
Al (0.736, 0.264, 0.736)
Al (0.264, 0.264, 0.736)
Al (0.264, 0.736, 0.736)
Al (0.736, 0.264, 0.264)
Al (0.736, 0.736, 0.264)
Al (0.264, 0.736, 0.264)
Pu (0.250, 0.250, 0.250)
Pu (0.750, 0.750, 0.750)

***

No. 8
First-principles (PBE-GGA) data for PuAl2Au3 after structural relaxation, as listed in Alexandria via LeMat-Bulk.

Values from the calculation:
For the uncorrected energy, the calculation gives -5.725 eV per atom. The value obtained for the formation energy from the elements is -451 meV per atom.

a = 5.572 Å, b = 6.639 Å, c = 6.639 Å
α = 101.70°, β = 90.00°, γ = 90.00°
Positions (direct):
Al (0.500, 0.215, 0.785)
Al (0.000, 0.785, 0.215)
Al (0.000, 0.215, 0.785)
Al (0.500, 0.785, 0.215)
Au (0.750, 0.033, 0.033)
Au (0.250, 0.967, 0.967)
Au (0.750, 0.462, 0.127)
Au (0.250, 0.873, 0.538)
Au (0.250, 0.538, 0.873)
Au (0.750, 0.127, 0.462)
Pu (0.250, 0.345, 0.345)
Pu (0.750, 0.655, 0.655)

***

No. 9
First-principles (PBE-GGA) data for Pu2Al3Au4 after structural relaxation, as listed in Alexandria via LeMat-Bulk.

Values from the calculation:
For the uncorrected energy, the calculation gives -6.360 eV per atom. The value obtained for the formation energy from the elements is -471 meV per atom.

a = 5.952 Å, b = 7.753 Å, c = 8.363 Å
α = 90.00°, β = 110.85°, γ = 90.00°
Positions (direct):
Au (0.189, 0.750, 0.878)
Au (0.689, 0.750, 0.878)
Au (0.811, 0.250, 0.122)
Au (0.182, 0.978, 0.363)
Au (0.318, 0.478, 0.637)
Au (0.311, 0.250, 0.122)
Au (0.818, 0.022, 0.637)
Au (0.682, 0.522, 0.363)
Al (0.518, 0.750, 0.537)
Al (0.982, 0.250, 0.463)
Al (0.500, 0.500, 0.000)
Al (0.000, 0.000, 0.000)
Al (0.482, 0.250, 0.463)
Al (0.018, 0.750, 0.537)
Pu (0.603, 0.898, 0.206)
Pu (0.103, 0.602, 0.206)
Pu (0.897, 0.398, 0.794)
Pu (0.397, 0.102, 0.794)

***

No. 10
First-principles (PBE-GGA) data for Pu3Al2Au4 after structural relaxation, as listed in Alexandria via LeMat-Bulk.

Values from the calculation:
For the uncorrected energy, the calculation gives -7.572 eV per atom. The value obtained for the formation energy from the elements is -506 meV per atom.

a = 4.876 Å, b = 5.730 Å, c = 8.935 Å
α = 122.13°, β = 90.00°, γ = 115.18°
Positions (direct):
Pu (0.000, 0.000, 0.000)
Pu (0.663, 0.326, 0.669)
Pu (0.337, 0.674, 0.331)
Al (0.385, 0.770, 0.716)
Al (0.615, 0.230, 0.284)
Au (0.291, 0.583, 0.946)
Au (0.709, 0.417, 0.054)
Au (0.932, 0.863, 0.607)
Au (0.068, 0.137, 0.393)

***

No. 11
First-principles (PBE-GGA) data for Pu2AlAu after structural relaxation, as listed in Alexandria via LeMat-Bulk.

Values from the calculation:
For the uncorrected energy, the calculation gives -7.976 eV per atom. The value obtained for the formation energy from the elements is 945 meV per atom.

a = 4.530 Å, b = 4.530 Å, c = 10.782 Å
α = 102.13°, β = 102.13°, γ = 90.00°
Positions (direct):
Al (0.250, 0.750, 0.500)
Al (0.500, 0.500, 0.000)
Au (0.750, 0.250, 0.500)
Au (0.000, 0.000, 0.000)
Pu (0.375, 0.125, 0.750)
Pu (0.875, 0.625, 0.250)
Pu (0.375, 0.625, 0.750)
Pu (0.375, 0.625, 0.250)

***

No. 12
First-principles (PBE-GGA) data for Pu2AlAu8 after structural relaxation, as listed in Alexandria via LeMat-Bulk.

Values from the calculation:
For the uncorrected energy, the calculation gives -5.643 eV per atom. The value obtained for the formation energy from the elements is -313 meV per atom.

a = 5.172 Å, b = 6.813 Å, c = 7.770 Å
α = 116.00°, β = 109.44°, γ = 90.00°
Positions (direct):
Au (0.381, 0.591, 0.761)
Au (0.000, 0.776, 0.000)
Au (0.186, 0.186, 0.371)
Au (0.000, 0.224, 0.000)
Au (0.619, 0.409, 0.239)
Au (0.814, 0.814, 0.629)
Au (0.381, 0.170, 0.761)
Au (0.619, 0.830, 0.239)
Pu (0.806, 0.306, 0.612)
Pu (0.194, 0.694, 0.388)
Al (0.500, 0.000, 0.000)

***

No. 13
First-principles (PBE-GGA) data for PuAl3Au3 after structural relaxation, as listed in Alexandria via LeMat-Bulk.

Values from the calculation:
For the uncorrected energy, the calculation gives -5.477 eV per atom. The value obtained for the formation energy from the elements is -421 meV per atom. For the energy above the most stable polymorph in this dataset, the calculation gives 0.000 eV/atom.

a = 4.635 Å, b = 7.121 Å, c = 9.029 Å
α = 117.04°, β = 90.00°, γ = 90.00°
Positions (direct):
Au (0.750, 0.506, 0.110)
Au (0.250, 0.244, 0.370)
Au (0.750, 0.970, 0.213)
Au (0.750, 0.756, 0.630)
Au (0.250, 0.494, 0.890)
Au (0.250, 0.030, 0.787)
Al (0.250, 0.332, 0.107)
Al (0.750, 0.083, 0.944)
Al (0.250, 0.917, 0.056)
Al (0.750, 0.668, 0.893)
Al (0.250, 0.584, 0.646)
Al (0.750, 0.416, 0.354)
Pu (0.750, 0.203, 0.616)
Pu (0.250, 0.797, 0.384)

***

No. 14
First-principles (PBE-GGA) data for PuAl3Au3 after structural relaxation, as listed in Alexandria via LeMat-Bulk.

Values from the calculation:
For the uncorrected energy, the calculation gives -5.176 eV per atom. The value obtained for the formation energy from the elements is -120 meV per atom. For the energy above the most stable polymorph in this dataset, the calculation gives 0.302 eV/atom.

a = 6.964 Å, b = 6.964 Å, c = 6.964 Å
α = 90.00°, β = 90.00°, γ = 90.00°
Positions (direct):
Au (0.000, 0.750, 0.500)
Au (0.250, 0.500, 0.000)
Au (0.500, 0.000, 0.750)
Au (0.750, 0.500, 0.000)
Au (0.000, 0.250, 0.500)
Au (0.500, 0.000, 0.250)
Pu (0.000, 0.000, 0.000)
Pu (0.500, 0.500, 0.500)
Al (0.750, 0.000, 0.500)
Al (0.500, 0.250, 0.000)
Al (0.000, 0.500, 0.750)
Al (0.500, 0.750, 0.000)
Al (0.250, 0.000, 0.500)
Al (0.000, 0.500, 0.250)

***

No. 15
First-principles (PBE-GGA) data for PuAl2Au4 after structural relaxation, as listed in Alexandria via LeMat-Bulk.

Values from the calculation:
For the uncorrected energy, the calculation gives -5.420 eV per atom. The value obtained for the formation energy from the elements is -430 meV per atom.

a = 4.557 Å, b = 6.753 Å, c = 17.688 Å
α = 90.00°, β = 90.00°, γ = 90.00°
Positions (direct):
Al (0.750, 0.229, 0.464)
Al (0.750, 0.466, 0.717)
Al (0.250, 0.729, 0.036)
Al (0.750, 0.034, 0.217)
Al (0.750, 0.271, 0.964)
Al (0.250, 0.966, 0.783)
Al (0.250, 0.771, 0.536)
Al (0.250, 0.534, 0.283)
Pu (0.250, 0.489, 0.862)
Pu (0.250, 0.011, 0.362)
Pu (0.750, 0.511, 0.138)
Pu (0.750, 0.989, 0.638)
Au (0.250, 0.319, 0.037)
Au (0.750, 0.187, 0.821)
Au (0.250, 0.181, 0.537)
Au (0.750, 0.497, 0.572)
Au (0.750, 0.819, 0.463)
Au (0.250, 0.233, 0.198)
Au (0.250, 0.687, 0.679)
Au (0.750, 0.767, 0.802)
Au (0.750, 0.003, 0.072)
Au (0.750, 0.681, 0.963)
Au (0.750, 0.313, 0.321)
Au (0.750, 0.733, 0.302)
Au (0.250, 0.267, 0.698)
Au (0.250, 0.997, 0.928)
Au (0.250, 0.813, 0.179)
Au (0.250, 0.503, 0.428)

***

No. 16
First-principles (PBE-GGA) data for PuAlAu after structural relaxation, as listed in Alexandria via LeMat-Bulk.

Values from the calculation:
For the uncorrected energy, the calculation gives -7.566 eV per atom. The value obtained for the formation energy from the elements is -448 meV per atom.

a = 5.542 Å, b = 5.542 Å, c = 5.542 Å
α = 91.99°, β = 117.62°, γ = 120.11°
Positions (direct):
Pu (0.750, 0.874, 0.124)
Pu (0.250, 0.126, 0.876)
Al (0.500, 0.000, 0.500)
Al (0.000, 0.500, 0.500)
Au (0.000, 0.500, 0.000)
Au (0.500, 0.500, 0.500)

***

No. 17
First-principles (PBE-GGA) data for Pu2AlAu after structural relaxation, as listed in Alexandria via LeMat-Bulk.

Values from the calculation:
For the uncorrected energy, the calculation gives -9.195 eV per atom. The value obtained for the formation energy from the elements is -274 meV per atom.

a = 3.095 Å, b = 3.095 Å, c = 9.192 Å
α = 90.00°, β = 90.00°, γ = 90.00°
Positions (direct):
Pu (0.000, 0.000, 0.253)
Pu (0.000, 0.000, 0.747)
Al (0.500, 0.500, 0.500)
Au (0.500, 0.500, 0.000)

***

No. 18
First-principles (PBE-GGA) data for Pu2AlAu6 after structural relaxation, as listed in Alexandria via LeMat-Bulk.

Values from the calculation:
For the uncorrected energy, the calculation gives -6.203 eV per atom. The value obtained for the formation energy from the elements is -417 meV per atom.

a = 5.730 Å, b = 6.181 Å, c = 6.181 Å
α = 59.99°, β = 90.00°, γ = 90.00°
Positions (direct):
Pu (0.843, 0.667, 0.667)
Pu (0.157, 0.333, 0.333)
Au (0.691, 0.645, 0.177)
Au (0.309, 0.823, 0.355)
Au (0.691, 0.178, 0.178)
Au (0.309, 0.355, 0.823)
Au (0.691, 0.177, 0.645)
Au (0.309, 0.822, 0.822)
Al (0.000, 0.000, 0.000)

***

No. 19
First-principles (PBE-GGA) data for Pu2AlSbAu6 after structural relaxation, as listed in Alexandria via LeMat-Bulk.

Values from the calculation:
As for the uncorrected formation energy: -0.283 eV per atom. For the uncorrected energy, the calculation gives -5.902 eV per atom.

a = 5.748 Å, b = 9.695 Å, c = 8.499 Å
α = 90.00°, β = 90.00°, γ = 90.00°
Positions (direct):
Sb (0.000, 0.702, 0.500)
Sb (0.500, 0.298, 0.000)
Au (0.758, 0.029, 0.500)
Au (0.500, 0.112, 0.238)
Au (0.242, 0.029, 0.500)
Au (0.248, 0.539, 0.000)
Au (0.500, 0.112, 0.762)
Au (0.752, 0.539, 0.000)
Au (0.000, 0.888, 0.262)
Au (0.742, 0.971, 0.000)
Au (0.258, 0.971, 0.000)
Au (0.252, 0.461, 0.500)
Au (0.000, 0.888, 0.738)
Au (0.748, 0.461, 0.500)
Al (0.500, 0.250, 0.500)
Al (0.000, 0.750, 0.000)
Pu (0.000, 0.258, 0.753)
Pu (0.000, 0.258, 0.247)
Pu (0.500, 0.742, 0.253)
Pu (0.500, 0.742, 0.747)